1.
PaGa: relaxed, PBE-GGA.

Unit cell a=4.159 b=4.159 c=4.159 alpha=60.00 beta=60.00 gamma=60.00
Element x y z (fractional)
Pa  0.000  0.000  0.000
Ga  0.500  0.500  0.500

Values from the calculation:
M_tot = 0.00 μB per cell
Crystal system = cubic
Space-group type = Fm-3m
Energy = -6.11 eV per atom

2.
PaGaPb: relaxed, PBE-GGA.

Unit cell a=5.097 b=5.097 c=5.097 alpha=60.00 beta=60.00 gamma=60.00
Element x y z (fractional)
Pa  0.000  0.000  0.000
Ga  0.750  0.750  0.750
Pb  0.250  0.250  0.250

Values from the calculation:
M_tot = 1.32 μB per cell
Crystal system = cubic
Space-group type = F-43m
Energy = -5.02 eV per atom

3.
PaGaPd: relaxed, PBE-GGA.

Unit cell a=4.547 b=4.547 c=3.279 alpha=90.00 beta=90.00 gamma=120.00
Element x y z (fractional)
Pa  0.000  0.000  0.000
Ga  0.667  0.333  0.500
Pd  0.333  0.667  0.500

Values from the calculation:
M_tot = 0.00 μB per cell
Crystal system = hexagonal
Space-group type = P-6m2
Energy = -6.53 eV per atom

4.
Pa4Ga12Pd: relaxed, PBE-GGA.

Unit cell a=7.495 b=7.495 c=7.495 alpha=109.47 beta=109.47 gamma=109.47
Element x y z (fractional)
Pa  0.000  0.000  0.500
Pa  0.000  0.500  0.000
Pa  0.500  0.000  0.000
Pa  0.500  0.500  0.500
Ga  0.000  0.298  0.298
Ga  0.000  0.702  0.702
Ga  0.250  0.500  0.750
Ga  0.250  0.750  0.500
Ga  0.298  0.000  0.298
Ga  0.298  0.298  0.000
Ga  0.500  0.250  0.750
Ga  0.500  0.750  0.250
Ga  0.702  0.000  0.702
Ga  0.702  0.702  0.000
Ga  0.750  0.250  0.500
Ga  0.750  0.500  0.250
Pd  0.000  0.000  0.000

Values from the calculation:
M_tot = 0.13 μB per cell
Crystal system = cubic
Space-group type = Im-3m
Energy = -5.11 eV per atom

5.
PaGaPd: relaxed, PBE-GGA.

Unit cell a=4.702 b=4.702 c=4.702 alpha=60.00 beta=60.00 gamma=60.00
Element x y z (fractional)
Pa  0.000  0.000  0.000
Ga  0.750  0.750  0.750
Pd  0.250  0.250  0.250

Values from the calculation:
M_tot = 0.03 μB per cell
Crystal system = cubic
Space-group type = F-43m
Energy = -5.75 eV per atom

6.
PaGaPd: relaxed, PBE-GGA.

Unit cell a=4.579 b=4.579 c=4.579 alpha=60.00 beta=60.00 gamma=60.00
Element x y z (fractional)
Pa  0.000  0.000  0.000
Ga  0.500  0.500  0.500
Pd  0.750  0.750  0.750

Values from the calculation:
M_tot = 0.02 μB per cell
Crystal system = cubic
Space-group type = F-43m
Energy = -6.33 eV per atom

7.
Pa2Ga8Pd: relaxed, PBE-GGA.

Unit cell a=4.345 b=4.345 c=11.190 alpha=90.00 beta=90.00 gamma=90.00
Element x y z (fractional)
Pa  0.000  0.000  0.189
Pa  0.000  0.000  0.811
Ga  0.000  0.500  0.000
Ga  0.000  0.500  0.374
Ga  0.000  0.500  0.626
Ga  0.500  0.000  0.000
Ga  0.500  0.000  0.374
Ga  0.500  0.000  0.626
Ga  0.500  0.500  0.189
Ga  0.500  0.500  0.811
Pd  0.000  0.000  0.500

Values from the calculation:
M_tot = 0.04 μB per cell
Crystal system = tetragonal
Space-group type = P4/mmm
Energy = -4.83 eV per atom

8.
PrPaGa: relaxed, PBE-GGA.

Unit cell a=4.940 b=4.940 c=4.940 alpha=60.00 beta=60.00 gamma=60.00
Element x y z (fractional)
Pr  0.000  0.000  0.000
Pa  0.500  0.500  0.500
Ga  0.750  0.750  0.750

Values from the calculation:
M_tot = 0.06 μB per cell
Crystal system = cubic
Space-group type = F-43m
Energy = -5.57 eV per atom